VASP calculation (PBE) on crystalline Sr2PaPt3O12 at its relaxed geometry.

Geometry as CIF:
```
data_Sr2PaPt3O12
_chemical_formula_sum 'Sr6 Pa3 Pt9 O36'
_symmetry_space_group_name_H-M 'R -3 m'
_symmetry_Int_Tables_number 166
_symmetry_space_group_name_Hall '-R 3 2"'
_cell_length_a 7.1726
_cell_length_b 7.1726
_cell_length_c 16.2225
_cell_angle_alpha 90.00
_cell_angle_beta 90.00
_cell_angle_gamma 120.00
loop_
_atom_site_label
_atom_site_fract_x
_atom_site_fract_y
_atom_site_fract_z
Sr1 0.0000 0.0000 0.1159
Pa1 0.0000 0.0000 0.5000
Pt1 0.0000 0.5000 0.0000
O1 0.0335 0.5167 0.8775
O2 0.0671 0.5335 0.2954
```

Computed properties:
energy relative to the elements, uncorrected = -1.5114 eV per atom
D(E_F) = 34.0 states/eV/cell